An optimized crystal structure of Zr2WC, computed with GGA-PBE.

Lattice parameters (Å, degrees): 4.4959 4.4959 4.4959 60.00 60.00 60.00
Closest atoms and distances in Å follow each position.
Sites, in units of the cell vectors:
Zr 0.0000 0.0000 0.0000  4 Zr 2.75, 4 W 2.75
Zr 0.2500 0.2500 0.2500  4 C 2.75, 4 Zr 2.75
C 0.5000 0.5000 0.5000  4 W 2.75, 4 Zr 2.75
W 0.7500 0.7500 0.7500  4 Zr 2.75, 4 C 2.75

Summary:
Fermi-level density of states ... 5.10 states/eV per cell
ΔH_f (0 K) ... 1228 meV per atom
SG ... F-43m
Total energy ... -0.316 Ha/atom